Entry 1:
Density functional theory data (PBE) for an optimized crystal structure of LaMg2Fe.

Results
SG ... Fm-3m
Energy of formation from the pure elements ... 460 meV/atom

```
LaMg2Fe
1.0
0.000 3.494 3.494
3.494 0.000 3.494
3.494 3.494 0.000
La Mg Fe
1 2 1
Direct
0.000 0.000 0.000
0.250 0.250 0.250
0.750 0.750 0.750
0.500 0.500 0.500
```

=====

Entry 2:
Density functional theory data (PBE) for an optimized crystal structure of RuSe.

Results
SG ... Pm-3n
E ... -6.0205 eV per atom

```
RuSe
1.0
6.783 0.000 0.000
0.000 6.783 0.000
0.000 0.000 6.783
Ru Se
6 6
Direct
0.000 0.250 0.500
0.000 0.750 0.500
0.250 0.500 0.000
0.500 0.000 0.250
0.500 0.000 0.750
0.750 0.500 0.000
0.000 0.500 0.250
0.000 0.500 0.750
0.250 0.000 0.500
0.500 0.250 0.000
0.500 0.750 0.000
0.750 0.000 0.500
```

=====

Entry 3:
Density functional theory data (PBE) for an optimized crystal structure of BeAlSi2.

Results
SG ... P2/m
E ... -4.2348 eV per atom

```
BeAlSi2
1.0
2.826 0.000 0.000
0.000 3.873 0.000
-0.167 0.000 5.116
Be Al Si
1 1 2
Direct
0.000 0.000 0.000
0.500 0.000 0.500
0.012 0.500 0.753
0.988 0.500 0.247
```

=====

Entry 4:
Density functional theory data (PBE) for an optimized crystal structure of Ac6Ga2PtI3.

Results
SG ... C2/m
E ... -4.3284 eV per atom

```
Ac6Ga2PtI3
1.0
4.052 -6.945 0.000
4.052 6.945 0.000
-2.683 0.000 8.083
Ac Ga Pt I
6 2 1 3
Direct
0.066 0.388 0.198
0.255 0.255 0.795
0.388 0.066 0.198
0.612 0.934 0.802
0.745 0.745 0.205
0.934 0.612 0.802
0.335 0.665 0.000
0.665 0.335 0.000
0.000 0.000 0.000
0.175 0.825 0.500
0.500 0.500 0.500
0.825 0.175 0.500
```

=====

Entry 5:
Density functional theory data (PBE) for an optimized crystal structure of BaIn3Sb.

Results
SG ... Pm-3m
E ... -2.7640 eV per atom

```
BaIn3Sb
1.0
5.771 0.000 0.000
0.000 5.771 0.000
0.000 0.000 5.771
Ba In Sb
1 3 1
Direct
0.000 0.000 0.000
0.000 0.500 0.500
0.500 0.000 0.500
0.500 0.500 0.000
0.500 0.500 0.500
```

=====

Entry 6:
Density functional theory data (PBE) for an optimized crystal structure of U3Tl4HgTe8.

Results
SG ... R-3m
E ... -4.7412 eV per atom

```
U3Tl4HgTe8
1.0
4.502 2.599 8.099
-4.502 2.599 8.099
0.000 -5.198 8.099
U Tl Hg Te
3 4 1 8
Direct
0.000 0.500 0.500
0.500 0.000 0.500
0.500 0.500 0.000
0.000 0.000 0.500
0.000 0.500 0.000
0.500 0.000 0.000
0.500 0.500 0.500
0.000 0.000 0.000
0.243 0.243 0.727
0.243 0.727 0.243
0.262 0.262 0.262
0.273 0.757 0.757
0.727 0.243 0.243
0.738 0.738 0.738
0.757 0.273 0.757
0.757 0.757 0.273
```

=====

Entry 7:
Density functional theory data (PBE) for an optimized crystal structure of CsP2OsS.

Results
SG ... P4/mmm
E ... -2.4578 eV per atom

```
CsP2OsS
1.0
5.522 0.000 0.000
0.000 5.522 0.000
0.000 0.000 5.154
Cs P Os S
1 2 1 1
Direct
0.000 0.000 0.000
0.000 0.500 0.000
0.500 0.000 0.000
0.500 0.500 0.500
0.000 0.000 0.500
```

=====

Entry 8:
Density functional theory data (PBE) for an optimized crystal structure of TbCe3Th2P6.

Results
SG ... C2/m
Energy of formation from the pure elements ... -1548 meV/atom

```
TbCe3Th2P6
1.0
3.553 -6.152 0.000
3.553 6.152 0.000
-2.369 0.000 6.703
Tb Ce Th P
1 3 2 6
Direct
0.000 0.000 0.000
0.167 0.833 0.500
0.500 0.500 0.500
0.833 0.167 0.500
0.333 0.667 0.000
0.667 0.333 0.000
0.083 0.414 0.251
0.246 0.246 0.749
0.414 0.083 0.251
0.586 0.917 0.749
0.754 0.754 0.251
0.917 0.586 0.749
```

=====

Entry 9:
Density functional theory data (PBE) for an optimized crystal structure of NbTl2Cl2F4.

Results
SG ... C2/m
E ... -4.9415 eV per atom

```
NbTl2Cl2F4
1.0
6.176 -3.143 0.000
6.176 3.143 0.000
-0.343 0.000 5.322
Nb Tl Cl F
1 2 2 4
Direct
0.000 0.000 0.000
0.356 0.356 0.353
0.644 0.644 0.647
0.185 0.185 0.839
0.815 0.815 0.161
0.191 0.721 0.764
0.279 0.809 0.236
0.721 0.191 0.764
0.809 0.279 0.236
```

=====

Entry 10:
Density functional theory data (PBE) for an optimized crystal structure of PaCuGeH.

Results
SG ... P3m1
E ... -5.8356 eV per atom

```
PaCuGeH
1.0
4.118 0.000 0.000
-2.059 3.566 0.000
0.000 0.000 3.992
Pa Cu Ge H
1 1 1 1
Direct
0.000 0.000 0.000
0.667 0.333 0.501
0.333 0.667 0.499
0.667 0.333 0.998
```

=====

Entry 11:
Density functional theory data (PBE) for an optimized crystal structure of Li3Sm2Hg3.

Results
SG ... P6_3/mcm
Energy of formation from the pure elements ... -269 meV/atom

```
Li3Sm2Hg3
1.0
8.583 0.000 0.000
-4.291 7.433 0.000
0.000 0.000 6.562
Li Sm Hg
6 4 6
Direct
0.000 0.267 0.250
0.000 0.733 0.750
0.267 0.000 0.250
0.267 0.267 0.750
0.733 0.000 0.750
0.733 0.733 0.250
0.333 0.667 0.000
0.333 0.667 0.500
0.667 0.333 0.000
0.667 0.333 0.500
0.000 0.367 0.750
0.000 0.633 0.250
0.367 0.000 0.750
0.367 0.367 0.250
0.633 0.000 0.250
0.633 0.633 0.750
```

=====

Entry 12:
Density functional theory data (PBE) for an optimized crystal structure of AsIr2Rh.

Results
SG ... I-42d
Energy of formation from the pure elements ... 652 meV/atom

```
AsIr2Rh
1.0
-2.944 2.944 4.838
2.944 -2.944 4.838
2.944 2.944 -4.838
As Ir Rh
2 4 2
Direct
0.000 0.000 0.000
0.750 0.250 0.500
0.115 0.625 0.990
0.375 0.365 0.490
0.635 0.125 0.010
0.875 0.885 0.510
0.250 0.750 0.500
0.500 0.500 0.000
```

=====

Entry 13:
Density functional theory data (PBE) for an optimized crystal structure of Mg7P6.

Results
SG ... R-3m
Energy of formation from the pure elements ... -144 meV/atom

```
Mg7P6
1.0
3.219 1.858 8.291
-3.219 1.858 8.291
0.000 -3.717 8.291
Mg P
7 6
Direct
0.000 0.000 0.000
0.071 0.071 0.565
0.071 0.565 0.071
0.435 0.929 0.929
0.565 0.071 0.071
0.929 0.435 0.929
0.929 0.929 0.435
0.165 0.165 0.165
0.310 0.310 0.310
0.394 0.394 0.394
0.606 0.606 0.606
0.690 0.690 0.690
0.835 0.835 0.835
```

=====

Entry 14:
Density functional theory data (PBE) for an optimized crystal structure of KMo2Ru.

Results
SG ... Fm-3m
Energy of formation from the pure elements ... 1468 meV/atom

```
KMo2Ru
1.0
0.000 3.235 3.235
3.235 0.000 3.235
3.235 3.235 0.000
K Mo Ru
1 2 1
Direct
0.000 0.000 0.000
0.250 0.250 0.250
0.750 0.750 0.750
0.500 0.500 0.500
```

=====

Entry 15:
Density functional theory data (PBE) for an optimized crystal structure of Ba2ErCdO5.

Results
SG ... Cmc2_1
E ... -6.0673 eV per atom

```
Ba2ErCdO5
1.0
1.807 -7.580 0.000
1.807 7.580 0.000
0.000 0.000 11.312
Ba Er Cd O
4 2 2 10
Direct
0.115 0.885 0.500
0.131 0.869 0.090
0.869 0.131 0.590
0.885 0.115 0.000
0.217 0.783 0.803
0.783 0.217 0.303
0.484 0.516 0.277
0.516 0.484 0.777
0.072 0.928 0.854
0.281 0.719 0.435
0.298 0.702 0.177
0.364 0.636 0.805
0.500 0.500 0.084
0.500 0.500 0.584
0.636 0.364 0.305
0.702 0.298 0.677
0.719 0.281 0.935
0.928 0.072 0.354
```

=====

Entry 16:
Density functional theory data (PBE) for an optimized crystal structure of Si3IO.

Results
SG ... Pm-3m
E ... -2.4299 eV per atom

```
Si3IO
1.0
5.355 0.000 0.000
0.000 5.355 0.000
0.000 0.000 5.355
Si I O
3 1 1
Direct
0.000 0.000 0.500
0.000 0.500 0.000
0.500 0.000 0.000
0.000 0.000 0.000
0.500 0.500 0.500
```

=====

Entry 17:
Density functional theory data (PBE) for an optimized crystal structure of Tm4TlPd15.

Results
SG ... P4/mmm
Energy of formation from the pure elements ... -775 meV/atom

```
Tm4TlPd15
1.0
4.092 0.000 0.000
0.000 4.092 0.000
0.000 0.000 20.465
Tm Tl Pd
4 1 15
Direct
0.000 0.000 0.100
0.000 0.000 0.300
0.000 0.000 0.700
0.000 0.000 0.900
0.000 0.000 0.500
0.000 0.500 0.000
0.000 0.500 0.200
0.000 0.500 0.400
0.000 0.500 0.600
0.000 0.500 0.800
0.500 0.000 0.000
0.500 0.000 0.200
0.500 0.000 0.400
0.500 0.000 0.600
0.500 0.000 0.800
0.500 0.500 0.100
0.500 0.500 0.300
0.500 0.500 0.500
0.500 0.500 0.700
0.500 0.500 0.900
```

=====

Entry 18:
Density functional theory data (PBE) for an optimized crystal structure of Na2MgTl.

Results
SG ... I-42d
Energy of formation from the pure elements ... 107 meV/atom

```
Na2MgTl
1.0
-4.412 4.412 3.104
4.412 -4.412 3.104
4.412 4.412 -3.104
Na Mg Tl
4 2 2
Direct
0.117 0.625 0.992
0.375 0.367 0.492
0.633 0.125 0.008
0.875 0.883 0.508
0.250 0.750 0.500
0.500 0.500 0.000
0.000 0.000 0.000
0.750 0.250 0.500
```

=====

Entry 19:
Density functional theory data (PBE) for an optimized crystal structure of RbFeMo2Pb.

Results
SG ... P4/mmm
Energy of formation from the pure elements ... 1364 meV/atom

```
RbFeMo2Pb
1.0
4.793 0.000 0.000
0.000 4.793 0.000
0.000 0.000 5.151
Rb Fe Mo Pb
1 1 2 1
Direct
0.000 0.000 0.000
0.500 0.500 0.500
0.000 0.500 0.500
0.500 0.000 0.500
0.500 0.500 0.000
```

=====

Entry 20:
Density functional theory data (PBE) for an optimized crystal structure of GaBrO2.

Results
SG ... R-3m
E ... -4.5248 eV per atom

```
GaBrO2
1.0
1.584 0.914 6.119
-1.584 0.914 6.119
0.000 -1.829 6.119
Ga Br O
1 1 2
Direct
0.000 0.000 0.000
0.500 0.500 0.500
0.385 0.385 0.385
0.615 0.615 0.615
```

=====

Entry 21:
Density functional theory data (PBE) for an optimized crystal structure of KMg2F.

Results
SG ... I4_1/amd
E ... -2.4002 eV per atom

```
KMg2F
1.0
-3.505 3.505 4.944
3.505 -3.505 4.944
3.505 3.505 -4.944
K Mg F
2 4 2
Direct
0.375 0.625 0.750
0.625 0.375 0.250
0.000 0.000 0.000
0.000 0.000 0.500
0.000 0.500 0.000
0.500 0.000 0.500
0.125 0.875 0.250
0.875 0.125 0.750
```

=====

Entry 22:
Density functional theory data (PBE) for an optimized crystal structure of La2CoRh.

Results
SG ... P4/mmm
Energy of formation from the pure elements ... -306 meV/atom

```
La2CoRh
1.0
5.009 0.000 0.000
0.000 5.009 0.000
0.000 0.000 3.592
La Co Rh
2 1 1
Direct
0.000 0.500 0.000
0.500 0.000 0.000
0.000 0.000 0.500
0.500 0.500 0.500
```

=====

Entry 23:
Density functional theory data (PBE) for an optimized crystal structure of Ir2PtPb.

Results
SG ... Cm
Energy of formation from the pure elements ... 370 meV/atom

```
Ir2PtPb
1.0
4.434 -1.472 0.000
4.434 1.472 0.000
-0.912 0.000 5.445
Ir Pt Pb
2 1 1
Direct
0.000 0.000 0.000
0.740 0.740 0.183
0.485 0.485 0.420
0.244 0.244 0.699
```

=====

Entry 24:
Density functional theory data (PBE) for an optimized crystal structure of KTm2Sc.

Results
SG ... R-3m
Energy of formation from the pure elements ... 273 meV/atom

```
KTm2Sc
1.0
1.733 1.001 12.817
-1.733 1.001 12.817
0.000 -2.002 12.817
K Tm Sc
1 2 1
Direct
0.000 0.000 0.000
0.099 0.099 0.099
0.901 0.901 0.901
0.500 0.500 0.500
```